ZrCrIr2 | SCAN | single point on PBEsol structure

Computed properties:
V   14.75 Å³/atom
SG   R-3m
DFT total energy   -47.933 eV/atom
Energy relative to the elements   -0.452 eV per formula unit

Cell lengths 2.750, 2.750, 9.145 Å; angles 81.35, 81.35, 60.00 degrees
Element x y z (fractional)
Cr 0.500 0.500 0.500
Ir 0.241 0.241 0.277
Ir 0.759 0.759 0.723
Zr 0.000 0.000 0.000


CuSe2I2 | SCAN | single point on PBEsol structure

Computed properties:
V   29.97 Å³/atom
SG   Cm
DFT total energy   -25.793 eV/atom
Formation energy from raw total energies   -0.025 eV/atom

Cell lengths 4.038, 3.740, 19.865 Å; angles 90.00, 92.14, 90.00 degrees
Element x y z (fractional)
Cu 0.687 0.000 0.114
Cu 0.687 0.500 0.614
Se 0.607 0.000 0.544
Se 0.607 0.500 0.044
Se 0.991 0.000 0.458
Se 0.991 0.500 0.958
I 0.591 0.000 0.350
I 0.591 0.500 0.850
I 0.201 0.000 0.192
I 0.201 0.500 0.692


NiIrOF2 | SCAN | single point on PBEsol structure

Computed properties:
V   13.54 Å³/atom
SG   P4/mmm
DFT total energy   -20.379 eV/atom
Formation energy from raw total energies   -0.262 eV/atom

Cell lengths 3.653, 4.304, 4.304 Å; angles 90.00, 90.00, 90.00 degrees
Last column: magnetic moment on the atom in μB.
Element x y z (fractional)
Ni 0.500 0.500 0.500  1.10
Ir 0.000 0.000 0.000  -0.02
O 0.500 0.000 0.000  0.00
F 0.000 0.000 0.500  0.00
F 0.000 0.500 0.000  0.00


TbCoSi3 | SCAN | single point on PBEsol structure

Computed properties:
V   15.28 Å³/atom
SG   I4mm
DFT total energy   -19.457 eV/atom
Formation energy from raw total energies   -0.635 eV/atom

Cell lengths 4.025, 4.025, 5.510 Å; angles 111.42, 111.42, 90.00 degrees
Element x y z (fractional)
Tb 0.996 0.996 0.992
Si 0.572 0.572 0.143
Si 0.739 0.239 0.477
Si 0.239 0.739 0.477
Co 0.340 0.340 0.680


- Which value of V does entry 4 give?
  15.28 Å³/atom


- Which value of DFT total energy does entry 1 give?
  -47.933 eV/atom


- DFT total energy of number 2 (CuSe2I2)?
  -25.793 eV/atom


- What is the formula in the second record?
  CuSe2I2